DFT (GGA+U) results for Ba5Cr3O13 after structural relaxation.

Unit cell a=10.559 b=8.007 c=10.561 alpha=90.00 beta=119.62 gamma=90.00
Fractional coordinates of all 42 atoms:
Ba1 0.009 0.000 0.238
Ba2 0.226 0.000 0.980
Ba3 0.231 0.501 0.217
Ba4 0.326 0.250 0.672
Ba5 0.326 0.752 0.674
Ba6 0.674 0.252 0.326
Ba7 0.674 0.750 0.328
Ba8 0.769 0.001 0.783
Ba9 0.774 0.500 0.020
Ba10 0.991 0.500 0.762
Cr1 0.039 0.499 0.407
Cr2 0.375 0.500 0.967
Cr3 0.407 0.001 0.372
Cr4 0.593 0.501 0.628
Cr5 0.625 0.000 0.033
Cr6 0.961 0.999 0.593
O1 0.005 0.988 0.002
O2 0.095 0.674 0.353
O3 0.102 0.323 0.362
O4 0.129 0.500 0.595
O5 0.151 0.000 0.675
O6 0.265 0.675 0.911
O7 0.266 0.324 0.908
O8 0.336 0.999 0.483
O9 0.351 0.168 0.265
O10 0.356 0.831 0.268
O11 0.411 0.504 0.533
O12 0.466 0.501 0.868
O13 0.482 0.501 0.156
O14 0.518 0.001 0.844
O15 0.534 0.001 0.132
O16 0.589 0.004 0.467
O17 0.644 0.331 0.732
O18 0.649 0.668 0.735
O19 0.664 0.499 0.517
O20 0.734 0.824 0.092
O21 0.735 0.175 0.089
O22 0.849 0.500 0.325
O23 0.871 0.000 0.405
O24 0.898 0.823 0.638
O25 0.905 0.174 0.647
O26 0.995 0.488 0.998

Summary:
The density comes out at 4.50 g/cm3. The total energy comes out at -285.440 eV per cell. The volume comes out at 18.48 Å³/atom.